Material: GaTe2CI
Method: DFT, PBE
State: optimized geometry

Results
- DOS(E_F): 3.96 states/eV per cell
- Raw formation energy: 0.92 eV/atom

abc: 4.614 4.614 8.610
angles: 90.00 90.00 90.00
Fractional positions:
Ga1 0.000 0.000 0.000
Te1 0.000 0.500 0.500
Te2 0.500 0.000 0.500
C1 0.500 0.500 0.500
I1 0.500 0.500 0.000